# 1
# Al2HI PBE relaxed
# Calculated total energy ... -2.71 eV per atom
# Calculated volume ... 92 Å³/f.u.
data_Al2HI
_chemical_formula_sum 'Al8 H4 I4'
_symmetry_space_group_name_H-M 'I -4 2 d'
_symmetry_Int_Tables_number 122
_symmetry_space_group_name_Hall 'I -4 2bw'
_cell_length_a 5.307
_cell_length_b 5.307
_cell_length_c 13.114
_cell_angle_alpha 90.00
_cell_angle_beta 90.00
_cell_angle_gamma 90.00
loop_
_atom_site_label
_atom_site_type_symbol
_atom_site_fract_x
_atom_site_fract_y
_atom_site_fract_z
_atom_site_occupancy
Al1 Al 0.038 0.250 0.125 1
H1 H 0.000 0.000 0.000 1
I1 I 0.000 0.000 0.500 1

---

# 2
# MgSc2N PBE relaxed
# Formation energy (no corrections) ... 0.035 eV/atom
# Calculated total energy ... -5.61 eV per atom
# Offset from the most stable computed form ... 995.1 meV/atom
# Calculated volume ... 101 Å³/f.u.
data_MgSc2N
_chemical_formula_sum 'Mg3 Sc6 N3'
_symmetry_space_group_name_H-M 'R -3 m'
_symmetry_Int_Tables_number 166
_symmetry_space_group_name_Hall '-R 3 2"'
_cell_length_a 3.7039
_cell_length_b 3.7039
_cell_length_c 25.5776
_cell_angle_alpha 90.00
_cell_angle_beta 90.00
_cell_angle_gamma 120.00
loop_
_atom_site_label
_atom_site_type_symbol
_atom_site_fract_x
_atom_site_fract_y
_atom_site_fract_z
_atom_site_occupancy
Mg1 Mg 0.0000 0.0000 0.0000 1
Sc1 Sc 0.0000 0.0000 0.4281 1
N1 N 0.0000 0.0000 0.5000 1

---

# 3
# Mg2Al2Hg PBE relaxed
# Calculated total energy ... -2.12 eV per atom
# Offset from the most stable computed form ... 26.2 meV/atom
# Calculated volume ... 110 Å³/f.u.
data_Mg2Al2Hg
_chemical_formula_sum 'Mg4 Al4 Hg2'
_symmetry_space_group_name_H-M 'P 4/m b m'
_symmetry_Int_Tables_number 127
_symmetry_space_group_name_Hall '-P 4 2ab'
_cell_length_a 8.498
_cell_length_b 8.498
_cell_length_c 3.036
_cell_angle_alpha 90.00
_cell_angle_beta 90.00
_cell_angle_gamma 90.00
loop_
_atom_site_label
_atom_site_type_symbol
_atom_site_fract_x
_atom_site_fract_y
_atom_site_fract_z
_atom_site_occupancy
Mg1 Mg 0.184 0.316 0.000 1
Al1 Al 0.111 0.611 0.500 1
Hg1 Hg 0.000 0.000 0.000 1